The following is a DFT calculation (PBE-GGA) of ZrTcF2 after structural relaxation.

## Properties
As for the distance to the lowest polymorph of the same formula: 0 meV per atom. Its uncorrected energy is -0.2535 Ha/atom. Its space-group type is R-3m, No. 166. As for the magnetic moment: 0.0 μB per cell. The calculation puts the density of states at the Fermi level at 0.708 states/eV per atom.

Cell lengths 7.7805, 7.7805, 7.7805 Å; angles 20.80, 20.80, 20.80 degrees
Atoms (fractional coordinates):
Zr: 0.0000 0.0000 0.0000
Tc: 0.5000 0.5000 0.5000
F: 0.4047 0.4047 0.4047
F: 0.5953 0.5953 0.5953

The following is a DFT calculation (PBE-GGA) of ZrTcF3 after structural relaxation.

## Properties
As for the distance to the lowest polymorph of the same formula: 716 meV per atom. Its uncorrected energy is -0.2022 Ha/atom. Its space-group type is Pm-3m, No. 221. As for the magnetic moment: 0.6 μB per cell. The calculation puts the density of states at the Fermi level at 1.194 states/eV per atom.

Cell lengths 4.2129, 4.2129, 4.2129 Å; angles 90.00, 90.00, 90.00 degrees
Atoms (fractional coordinates):
Zr: 0.0000 0.0000 0.0000
Tc: 0.5000 0.5000 0.5000
F: 0.0000 0.5000 0.5000
F: 0.5000 0.0000 0.5000
F: 0.5000 0.5000 0.0000